! ZrGeOsC2, optimized geometry, DFT PBE; values from VASP
&SYSTEM
  ibrav = 0, nat = 5, ntyp = 4
/
ATOMIC_SPECIES
Zr 91.22 Zr.upf
Os 190.23 Os.upf
C 12.01 C.upf
Ge 72.64 Ge.upf
CELL_PARAMETERS angstrom
4.226 0.000 0.000
0.000 4.226 0.000
0.000 0.000 5.240
ATOMIC_POSITIONS crystal
Zr 0.000 0.000 0.000
Os 0.000 0.000 0.500
C 0.500 0.000 0.000
Ge 0.500 0.500 0.500
C 0.000 0.500 0.000
! E_form, meV/atom: 2238
! Calculated total energy, eV per atom: -6.33